# CsRbSCl2

A geometry-optimized CsRbSCl2 structure (PBE-GGA, Alexandria).

Results
For the polymorph energy (0 for the lowest one), the calculation gives 0 meV per atom. As for the crystal system: tetragonal. Its magnetization is 2.07 μB per cell. As for the total energy: -13.5 eV for the cell shown.

Cell lengths 6.252, 6.252, 6.093 Å; angles 90.00, 90.00, 90.00 degrees
Each line ends with the local moment (μB).
Element x y z (fractional)
Cs 0.500 0.500 0.500  0.00
S 0.000 0.000 0.500  0.92
Rb 0.000 0.000 0.000  0.03
Cl 0.000 0.500 0.000  0.17
Cl 0.500 0.000 0.000  0.17